# 1
# BeHgAsN2

A relaxed structure of BeHgAsN2 (PBE, Alexandria via LeMat-Bulk).

Properties
Its symmetry is No. 123. The calculation puts the final energy at -3.5974 eV/atom.

a b c (Å): 3.6709 6.3057 3.6709
angles (deg): 90.00 90.00 90.00
Site moments in Bohr magnetons follow the coordinates.
Positions (direct):
1 As 0.0000 0.0000 0.0000  0.02
2 Hg 0.0000 0.5000 0.0000  0.02
3 N 0.5000 0.0000 0.0000  0.33
4 Be 0.5000 0.5000 0.5000  0.01
5 N 0.0000 0.0000 0.5000  0.29

=====

# 2
# ZnMo2P

A relaxed structure of ZnMo2P (PBE, Alexandria via LeMat-Bulk).

Properties
As for the polymorph energy (0 for the lowest one): 340 meV/atom. Its symmetry is No. 216. The value obtained for the energy of formation is 1.116 eV per formula unit.

a b c (Å): 4.3656 4.3656 4.3656
angles (deg): 60.00 60.00 60.00
Positions (direct):
1 Mo 0.7500 0.7500 0.7500
2 P 0.5000 0.5000 0.5000
3 Mo 0.0000 0.0000 0.0000
4 Zn 0.2500 0.2500 0.2500

=====

# 3
# Pr4Ag2S

A relaxed structure of Pr4Ag2S (PBE, Alexandria via LeMat-Bulk).

Properties
As for the polymorph energy (0 for the lowest one): 0 meV/atom. Its symmetry is No. 12.

a b c (Å): 4.1495 7.0297 7.7690
angles (deg): 72.73 74.51 72.83
Positions (direct):
1 Pr 0.3359 0.2525 0.0757
2 Ag 0.6206 0.4352 0.3236
3 Pr 0.6641 0.7475 0.9243
4 Pr 0.0948 0.1947 0.6156
5 Pr 0.9052 0.8053 0.3844
6 S 0.0000 0.0000 0.0000
7 Ag 0.3794 0.5648 0.6764

=====

Fermi-level density of states / states/eV/atom: 0.306; 0.851; 0.822